Entry 1:
YNbBr2 | Alexandria | PBE | optimized geometry; DOS at the Fermi energy = 0.59 states/eV per atom; volume = 204 Å³ per cell; space-group type = I-42d
1.0
-2.374 2.374 9.060
2.374 -2.374 9.060
2.374 2.374 -9.060
Y Nb Br
2 2 4
Cartesian
0.000 0.000 0.000
0.000 2.374 4.530
2.374 0.000 4.530
0.000 0.000 9.060
1.187 -1.090 6.795
1.284 1.187 2.265
1.187 3.464 -2.265
1.090 1.187 11.325

Entry 2:
LaYEr3 | Alexandria | PBE | optimized geometry; DOS at the Fermi energy = 1.95 states/eV per atom; volume = 324 Å³ per cell; space-group type = C2/m
1.0
8.423 -2.726 0.000
8.423 2.726 0.000
-0.009 0.000 7.047
La Y Er
2 2 6
Cartesian
3.348 0.000 1.746
13.489 0.000 5.301
6.643 0.000 3.504
10.194 0.000 3.543
0.030 0.000 5.293
3.332 0.000 5.288
6.658 0.000 0.028
10.178 0.000 7.019
13.504 0.000 1.759
16.807 0.000 1.754

Entry 3:
Ac2CeAg | Alexandria | PBE | optimized geometry; DOS at the Fermi energy = 2.32 states/eV per atom; volume = 146 Å³ per cell; space-group type = R-3m
1.0
1.861 1.074 12.153
-1.861 1.074 12.153
0.000 -2.149 12.153
Ac Ce Ag
2 1 1
Cartesian
0.000 0.000 3.552
0.000 0.000 32.906
0.000 0.000 0.000
0.000 0.000 18.229

| no. | polymorph energy (0 for the lowest one) (eV/atom) | total energy (eV/atom) |
| --- | --- | --- |
| 1 | 0.160 | -5.1346 |
| 2 | 0.061 | -4.9407 |
| 3 | 0.319 | -3.9522 |